A relaxed structure of NaYCrF6. Source: Alexandria via LeMat-Bulk, functional PBE with a Hubbard U.

Its total energy is -6.1068 eV per atom. The space group is No. 163. The calculation puts the density at 3.34 g/cm3.

a = 5.7874 Å, b = 5.7874 Å, c = 9.5161 Å
α = 90.00°, β = 90.00°, γ = 120.00°
Fractional coordinates of all 18 atoms:
Na (0.0000, 0.0000, 0.0000)
Na (0.0000, 0.0000, 0.5000)
Y (0.3333, 0.6667, 0.2500)
Y (0.6667, 0.3333, 0.7500)
Cr (0.3333, 0.6667, 0.7500)
Cr (0.6667, 0.3333, 0.2500)
F (0.0085, 0.3564, 0.6347)
F (0.0085, 0.6520, 0.8653)
F (0.3480, 0.3564, 0.8653)
F (0.3480, 0.9915, 0.6347)
F (0.3564, 0.0085, 0.1347)
F (0.3564, 0.3480, 0.3653)
F (0.6436, 0.6520, 0.6347)
F (0.6436, 0.9915, 0.8653)
F (0.6520, 0.0085, 0.3653)
F (0.6520, 0.6436, 0.1347)
F (0.9915, 0.3480, 0.1347)
F (0.9915, 0.6436, 0.3653)